## ScZn2CrHg (GGA-PBE)

Data for crystalline ScZn2CrHg at its relaxed geometry.

Lattice parameters (Å, degrees): 4.851 4.851 5.142 90.00 90.00 90.00
Space group P4/mmm (No. 123)
Asymmetric unit:
Sc 0.000 0.000 0.000 x1
Zn 0.000 0.500 0.500 x2
Cr 0.500 0.500 0.000 x1
Hg 0.500 0.500 0.500 x1

Summary:
N(E_F) (states/eV/f.u.): 3.8
Total moment (Bohr magnetons per cell): 4.29
Energy relative to the elements (kJ/mol of atoms): 71